## IrPbS2 (PBE)

Data for an optimized crystal structure of IrPbS2.

As for the uncorrected energy: -4.77 eV per atom. The calculation puts the density of states at the Fermi level at 1.0607 states/eV per atom. The magnetization comes out at 0.00 μB per formula unit. For the energy relative to the elements, uncorrected, the calculation gives 10.2 kcal/mol of atoms.

The space group is R-3m (No. 166, hexagonal axes) and the conventional cell measures 3.1192, 3.1192 and 28.7203 Å, with angles of 90.00, 90.00 and 120.00 degrees. The inequivalent atoms are Ir at (0.0000, 0.0000, 0.0000), Pb at (0.0000, 0.0000, 0.5000) and S at (0.0000, 0.0000, 0.0771).